An optimized crystal structure of Pa4PIrSe2, computed with PBE-GGA.

Computed properties:
- crystal system = monoclinic
- raw formation energy (eV/f.u.) = -9.09
- space-group type = P2/m, No. 10

Geometry as extended XYZ:
```
8
Lattice="7.122 0.000 0.000 0.000 3.909 0.000 -2.237 0.000 6.771" Properties=species:S:1:pos:R:3 pbc="T T T"
Pa 1.214 0.000 1.531
Pa 0.127 1.955 5.201
Pa 4.758 1.955 1.570
Pa 3.671 0.000 5.240
P 3.561 0.000 0.000
Ir 0.000 1.955 0.000
Se -1.119 0.000 3.385
Se 2.442 1.955 3.385
```

---

An optimized crystal structure of Zr2TaOs, computed with PBE-GGA.

Computed properties:
- offset from the most stable computed form (meV/atom) = 345
- crystal system = trigonal
- space-group type = R-3m, No. 166
- DFT formation energy (eV per atom) = 0.121

Geometry as extended XYZ:
```
4
Lattice="1.573 0.908 9.098 -1.573 0.908 9.098 0.000 -1.817 9.098" Properties=species:S:1:pos:R:3 pbc="T T T"
Zr 0.000 0.000 6.651
Zr 0.000 0.000 20.644
Ta 0.000 0.000 0.000
Os 0.000 0.000 13.647
```

---

An optimized crystal structure of Mg2C, computed with PBE-GGA.

Computed properties:
- offset from the most stable computed form (meV/atom) = 257
- crystal system = orthorhombic
- space-group type = Cmcm, No. 63
- DFT formation energy (eV per atom) = 0.506

Geometry as extended XYZ:
```
6
Lattice="1.753 -7.314 0.000 1.753 7.314 0.000 0.000 0.000 4.278" Properties=species:S:1:pos:R:3 pbc="T T T"
Mg 1.753 5.980 3.209
Mg 1.753 3.148 3.209
Mg 1.753 -3.148 1.070
Mg 1.753 -5.980 1.070
C 1.753 2.547 1.070
C 1.753 -2.547 3.209
```

---

An optimized crystal structure of CdOs3, computed with PBE-GGA.

Computed properties:
- offset from the most stable computed form (meV/atom) = 505
- crystal system = tetragonal
- space-group type = I4/mmm, No. 139
- DFT formation energy (eV per atom) = 0.742

Geometry as extended XYZ:
```
4
Lattice="-1.946 1.946 4.073 1.946 -1.946 4.073 1.946 1.946 -4.073" Properties=species:S:1:pos:R:3 pbc="T T T"
Cd 0.000 0.000 0.000
Os 1.946 0.000 2.037
Os 0.000 0.000 4.073
Os 0.000 1.946 2.037
```

---

An optimized crystal structure of Nd2In3Sn, computed with PBE-GGA.

Computed properties:
- crystal system = orthorhombic
- space-group type = Pmm2, No. 25
- DFT formation energy (eV per atom) = -0.466

Geometry as extended XYZ:
```
6
Lattice="3.647 0.000 0.000 0.000 5.086 0.000 0.000 0.000 8.849" Properties=species:S:1:pos:R:3 pbc="T T T"
Nd 0.000 0.000 0.000
Nd 0.000 2.543 4.370
In 1.824 0.000 5.906
In 1.824 2.543 1.412
In 1.824 2.543 7.329
Sn 1.824 0.000 2.942
```

---

An optimized crystal structure of Ac2HoScSe6, computed with PBE-GGA.

Computed properties:
- crystal system = monoclinic
- raw formation energy (eV/f.u.) = -19.39
- space-group type = P2_1/c, No. 14

Geometry as extended XYZ:
```
20
Lattice="7.065 0.000 0.000 0.000 7.779 0.000 -6.979 0.000 10.388" Properties=species:S:1:pos:R:3 pbc="T T T"
Ac -0.230 0.755 2.584
Ac -3.720 3.135 7.778
Ac 3.806 4.645 2.611
Ac 0.316 7.024 7.805
Ho 3.533 0.000 0.000
Ho 0.043 3.890 5.194
Sc -3.490 0.000 5.194
Sc 0.000 3.890 0.000
Se -5.757 1.500 9.777
Se -2.267 2.389 4.583
Se -4.757 5.317 9.789
Se -1.267 6.352 4.595
Se -2.629 0.230 7.724
Se 0.860 3.660 2.530
Se -0.774 4.120 7.858
Se 2.715 7.549 2.664
Se 1.353 1.427 5.793
Se 4.843 2.463 0.599
Se 2.354 5.390 5.805
Se 5.843 6.279 0.611
```

---

An optimized crystal structure of LiZrPb, computed with PBE-GGA.

Computed properties:
- crystal system = cubic
- space-group type = F-43m, No. 216
- DFT formation energy (eV per atom) = 0.362

Geometry as extended XYZ:
```
3
Lattice="0.000 3.415 3.415 3.415 0.000 3.415 3.415 3.415 0.000" Properties=species:S:1:pos:R:3 pbc="T T T"
Li 0.000 0.000 0.000
Zr 1.707 1.707 1.707
Pb 3.415 3.415 3.415
```

---

An optimized crystal structure of Ag5B2F12, computed with PBE-GGA.

Computed properties:
- offset from the most stable computed form (meV/atom) = 156
- crystal system = monoclinic
- raw formation energy (eV/f.u.) = -31.82
- space-group type = C2/m, No. 12

Geometry as extended XYZ:
```
19
Lattice="6.319 -3.584 0.000 6.319 3.584 0.000 -2.958 0.000 7.550" Properties=species:S:1:pos:R:3 pbc="T T T"
Ag 0.000 0.000 0.000
Ag 3.296 0.000 1.232
Ag 2.078 0.000 6.551
Ag 7.602 0.000 0.999
Ag 6.384 0.000 6.319
B 4.840 2.432 3.775
B 4.840 -2.432 3.775
F -1.713 0.000 4.829
F 1.873 2.160 6.664
F 3.695 1.812 3.516
F 7.808 2.160 0.886
F 5.985 1.812 4.034
F 5.393 0.000 1.645
F 4.287 0.000 5.906
F 3.695 -1.812 3.516
F 1.873 -2.160 6.664
F 5.985 -1.812 4.034
F 7.808 -2.160 0.886
F 11.393 0.000 2.721
```

---

| no. | calculated total energy (eV/atom) |
| --- | --- |
| 1 | -8.54 |
| 2 | -9.92 |
| 3 | -3.63 |
| 4 | -7.91 |
| 5 | -4.09 |
| 6 | -5.94 |
| 7 | -4.36 |
| 8 | -4.31 |